# 1
First-principles (PBE) data for a geometry-optimized Sc2TeN structure, as listed in Alexandria.

abc: 8.1371 8.1371 8.1371
angles: 24.08 24.08 24.08
Sites, in units of the cell vectors:
Sc1 0.8804 0.8804 0.8804
Sc2 0.1196 0.1196 0.1196
Te1 0.0000 0.0000 0.0000
N1 0.5000 0.5000 0.5000

Results
volume = 19.7 Å³/atom
DFT total energy = -28.00 eV/cell
symmetry = R-3m
polymorph energy (0 for the lowest one) = 284 meV/atom
Fermi-level density of states = 3.70 states/eV/cell
magnetic moment = 0.0 μB per formula unit
raw formation energy = -967 meV/atom

=====

# 2
First-principles (PBE) data for a geometry-optimized Sc5Te2N structure, as listed in Alexandria.

abc: 4.1701 8.0083 12.3977
angles: 90.00 90.00 105.09
Last column: magnetic moment on the atom in μB.
Sites, in units of the cell vectors:
Sc1 0.8816 0.7633 0.8722  0.18
Sc2 0.8816 0.7633 0.6278  0.18
Sc3 0.3055 0.6109 0.4333  0.29
Sc4 0.3055 0.6109 0.0667  0.29
Sc5 0.7502 0.5003 0.2500  0.10
Sc6 0.2498 0.4997 0.7500  0.10
Sc7 0.6945 0.3891 0.5667  0.29
Sc8 0.6945 0.3891 0.9333  0.29
Sc9 0.1184 0.2367 0.1278  0.18
Sc10 0.1184 0.2367 0.3722  0.18
Te1 0.9247 0.8494 0.3889  0.00
Te2 0.9247 0.8494 0.1111  0.00
Te3 0.0753 0.1506 0.6111  0.00
Te4 0.0753 0.1506 0.8889  0.00
N1 0.7789 0.5578 0.7500  -0.01
N2 0.2211 0.4422 0.2500  -0.01

Results
volume = 25.0 Å³/atom
DFT total energy = -104.25 eV/cell
symmetry = Cmcm
Fermi-level density of states = 13.39 states/eV/cell
magnetic moment = 1.7 μB per formula unit
raw formation energy = -732 meV/atom

=====

# 3
First-principles (PBE) data for a geometry-optimized ScTe2N structure, as listed in Alexandria.

abc: 5.8436 5.8436 7.4875
angles: 67.03 67.03 90.00
Sites, in units of the cell vectors:
Sc1 0.0000 0.0000 0.0000
Sc2 0.7500 0.2500 0.5000
Te1 0.5386 0.1250 0.2500
Te2 0.2114 0.6250 0.2500
Te3 0.3750 0.4614 0.7500
Te4 0.8750 0.7886 0.7500
N1 0.5000 0.5000 0.0000
N2 0.2500 0.7500 0.5000

Results
volume = 26.7 Å³/atom
DFT total energy = -38.95 eV/cell
symmetry = I-42d
Fermi-level density of states = 6.54 states/eV/cell
magnetic moment = 0.0 μB per formula unit
raw formation energy = 367 meV/atom

=====

# 4
First-principles (PBE) data for a geometry-optimized ScTe2N structure, as listed in Alexandria.

abc: 9.0816 9.0816 9.0816
angles: 21.67 21.67 21.67
Sites, in units of the cell vectors:
Sc1 0.0000 0.0000 0.0000
Te1 0.8926 0.8926 0.8926
Te2 0.1074 0.1074 0.1074
N1 0.5000 0.5000 0.5000

Results
volume = 22.4 Å³/atom
DFT total energy = -17.71 eV/cell
symmetry = R-3m
Fermi-level density of states = 3.78 states/eV/cell
magnetic moment = 0.0 μB per formula unit
raw formation energy = 807 meV/atom